## P
First-principles (GGA+U) data for an optimized crystal structure of CrP2AuO, as listed in Alexandria.

Lattice parameters (Å, degrees): 4.8377 4.8377 3.4829 90.00 90.00 90.00
Element x y z (fractional)
1 Cr 0.0000 0.0000 0.0000
2 P 0.0000 0.5000 0.0000
3 P 0.5000 0.0000 0.0000
4 Au 0.5000 0.5000 0.5000
5 O 0.0000 0.0000 0.5000

**N(E_F)**: 2.33 states/eV/f.u.

=====

## Q
First-principles (GGA+U) data for an optimized crystal structure of CrP2AuO, as listed in Alexandria.

Lattice parameters (Å, degrees): 4.8897 4.8897 3.9769 90.00 90.00 90.00
Element x y z (fractional)
1 Cr 0.0000 0.0000 0.0000
2 P 0.0000 0.5000 0.5000
3 P 0.5000 0.0000 0.5000
4 Au 0.5000 0.5000 0.5000
5 O 0.5000 0.5000 0.0000

**N(E_F)**: 3.95 states/eV/f.u.

=====

Relative to the most stable one, in eV/atom, the structures come out at P 0.000; Q 0.622.